VASP calculation (GGA-PBE) on crystalline DyLuPt at its relaxed geometry.

Cell lengths 4.8093, 4.8093, 4.8093 Å; angles 60.00, 60.00, 60.00 degrees
Fractional coordinates of all 3 atoms:
Lu (0.0000, 0.0000, 0.0000)
Pt (0.2500, 0.2500, 0.2500)
Dy (0.5000, 0.5000, 0.5000)

Results
Energy relative to the elements, eV per formula unit: -2.74
ρ, g cm⁻³: 11.24
Total energy, eV for the cell shown: -17.90
Spin magnetization, μB per formula unit: 0.00
V, Å³/f.u.: 79